# 1
First-principles (meta-GGA SCAN) data for a PBEsol-optimized structure of Li6Ti2O7, as listed in Alexandria.

a = 9.943 Å, b = 9.943 Å, c = 2.919 Å
α = 90.00°, β = 90.00°, γ = 90.00°
Space group P4_2/mnm (No. 136)
Asymmetric unit:
Li 0.087 0.087 0.000 x4
Li 0.110 0.302 0.500 x8
Ti 0.151 0.849 0.500 x4
O 0.000 0.000 0.500 x2
O 0.051 0.757 0.000 x8
O 0.220 0.220 0.000 x4

Volume, Å³ per atom: 9.62
Crystal system: tetragonal
DFT total energy, eV per cell: -259.46
Uncorrected formation energy, eV per atom: -2.6475
Size of the total moment, μB/f.u.: 0.0
Excess energy over the best structure of this formula in the dataset, kJ/mol of atoms: 7.6

***

# 2
First-principles (meta-GGA SCAN) data for a PBEsol-optimized structure of BeTcIO2, as listed in Alexandria.

a = 3.743 Å, b = 3.743 Å, c = 5.806 Å
α = 90.00°, β = 90.00°, γ = 90.00°
Space group P4/mmm (No. 123)
Asymmetric unit:
Be 0.000 0.000 0.000 x1
Tc 0.500 0.500 0.500 x1
I 0.500 0.500 0.000 x1
O 0.000 0.500 0.500 x2

Volume, Å³ per atom: 16.27
Crystal system: tetragonal
DFT total energy, eV per cell: -90.51
Uncorrected formation energy, eV per atom: -0.3789
Size of the total moment, μB/f.u.: 0.0

***

# 3
First-principles (meta-GGA SCAN) data for a PBEsol-optimized structure of TeMoBr2, as listed in Alexandria.

a = 3.294 Å, b = 4.807 Å, c = 5.681 Å
α = 90.00°, β = 90.00°, γ = 90.00°
Space group Pmmm (No. 47)
Asymmetric unit:
Te 0.000 0.000 0.000 x1
Mo 0.500 0.000 0.500 x1
Br 0.000 0.500 0.500 x1
Br 0.500 0.500 0.000 x1

Volume, Å³ per atom: 22.48
Crystal system: orthorhombic
DFT total energy, eV per cell: -108.73
Uncorrected formation energy, eV per atom: 0.5805
Size of the total moment, μB/f.u.: 3.5
Excess energy over the best structure of this formula in the dataset, kJ/mol of atoms: 47.9

***

# 4
First-principles (meta-GGA SCAN) data for a PBEsol-optimized structure of Re2NiHg, as listed in Alexandria.

a = 2.720 Å, b = 4.388 Å, c = 10.096 Å
α = 90.00°, β = 90.00°, γ = 90.00°
Space group Immm (No. 71)
Asymmetric unit:
Re 0.000 0.000 0.211 x4
Ni 0.000 0.500 0.500 x2
Hg 0.000 0.500 0.000 x2

Volume, Å³ per atom: 15.06
Crystal system: orthorhombic
DFT total energy, eV per cell: -449.39
ΔE_f, meV/atom: 459
Size of the total moment, μB/f.u.: 0.0

***

# 5
First-principles (meta-GGA SCAN) data for a PBEsol-optimized structure of IrRh2Cl, as listed in Alexandria.

a = 2.765 Å, b = 3.456 Å, c = 6.394 Å
α = 90.00°, β = 90.00°, γ = 90.00°
Space group Pmmm (No. 47)
Asymmetric unit:
Ir 0.000 0.000 0.000 x1
Rh 0.500 0.500 0.215 x2
Cl 0.500 0.000 0.500 x1

Volume, Å³ per atom: 15.28
Crystal system: orthorhombic
DFT total energy, eV per cell: -145.72
Uncorrected formation energy, eV per atom: 0.2243
Size of the total moment, μB/f.u.: 0.0
Excess energy over the best structure of this formula in the dataset, kJ/mol of atoms: 0.0

***

# 6
First-principles (meta-GGA SCAN) data for a PBEsol-optimized structure of Ca2Pd2Se, as listed in Alexandria.

a = 3.715 Å, b = 3.715 Å, c = 15.705 Å
α = 90.00°, β = 90.00°, γ = 90.00°
Space group I4/mmm (No. 139)
Asymmetric unit:
Ca 0.000 0.000 0.107 x4
Pd 0.000 0.500 0.250 x4
Se 0.000 0.000 0.500 x2

Volume, Å³ per atom: 21.67
Crystal system: tetragonal
DFT total energy, eV per cell: -220.59
Uncorrected formation energy, eV per atom: -1.0678
Size of the total moment, μB/f.u.: 0.0